No. 1
Compound: Al2CdNi
Source: Alexandria via LeMat-Bulk
Functional: PBE
Structure: optimized geometry

The structure belongs to space group Pm (No. 6); the cell edges are 2.995, 4.406 and 4.832 Å and the angles 90.00°, 90.80° and 90.00°. The asymmetric unit holds Al at (0.000, 0.000, 0.000), Al at (0.497, 0.500, 0.840), Cd at (0.993, 0.500, 0.354) and Ni at (0.487, 0.000, 0.590).

The calculation puts the magnetization at 0.0 Bohr magnetons per cell. The raw total energy is -14.44 eV/cell. As for the formation energy: -0.065 eV/atom. Its crystal system is monoclinic.


No. 2
Compound: Al2CdNi
Source: Alexandria via LeMat-Bulk
Functional: PBE
Structure: optimized geometry

The structure belongs to space group I4/mmm (No. 139); the cell edges are 3.970, 3.970 and 7.912 Å and the angles 90.00°, 90.00° and 90.00°. The asymmetric unit holds Al at (0.000, 0.500, 0.250), Cd at (0.000, 0.000, 0.000) and Ni at (0.000, 0.000, 0.500).

The calculation puts the magnetization at 0.0 Bohr magnetons per cell. The raw total energy is -28.55 eV/cell. As for the formation energy: -0.023 eV/atom. Its crystal system is tetragonal.


No. 3
Compound: Al2CdNi
Source: Alexandria via LeMat-Bulk
Functional: PBE
Structure: optimized geometry

The structure belongs to space group R3m (No. 160, hexagonal axes); the cell edges are 2.9155, 2.9155 and 26.5161 Å and the angles 90.00°, 90.00° and 120.00°. The asymmetric unit holds Al at (0.0000, 0.0000, 0.0000), Al at (0.0000, 0.0000, 0.2460), Cd at (0.0000, 0.0000, 0.7652) and Ni at (0.0000, 0.0000, 0.5144).

The calculation puts the magnetization at 0.0 Bohr magnetons per cell. The raw total energy is -43.30 eV/cell. As for the formation energy: -0.063 eV/atom. Its crystal system is trigonal.


No. 4
Compound: AlCd2Ni
Source: Alexandria via LeMat-Bulk
Functional: PBE
Structure: optimized geometry

The structure belongs to space group Cmmm (No. 65); the cell edges are 5.656, 8.045 and 3.024 Å and the angles 90.00°, 90.00° and 90.00°. The asymmetric unit holds Al at (0.000, 0.000, 0.000), Cd at (0.250, 0.250, 0.500) and Ni at (0.000, 0.500, 0.000).

The calculation puts the magnetization at 0.0 Bohr magnetons per cell. The raw total energy is -21.82 eV/cell. As for the formation energy: 0.112 eV/atom. Its crystal system is orthorhombic.


No. 5
Compound: AlCd2Ni
Source: Alexandria via LeMat-Bulk
Functional: PBE
Structure: optimized geometry

The structure belongs to space group R-3m (No. 166, hexagonal axes); the cell edges are 3.0075, 3.0075 and 27.2139 Å and the angles 90.00°, 90.00° and 120.00°. The asymmetric unit holds Al at (0.0000, 0.0000, 0.0000), Cd at (0.0000, 0.0000, 0.2432) and Ni at (0.0000, 0.0000, 0.5000).

The calculation puts the magnetization at 0.0 Bohr magnetons per cell. The raw total energy is -32.31 eV/cell. As for the formation energy: 0.146 eV/atom. Its crystal system is trigonal.


No. 6
Compound: AlCd2Ni
Source: Alexandria via LeMat-Bulk
Functional: PBE
Structure: optimized geometry

The structure belongs to space group P4/mmm (No. 123); the cell edges are 2.965, 2.965 and 8.084 Å and the angles 90.00°, 90.00° and 90.00°. The asymmetric unit holds Al at (0.000, 0.000, 0.000), Cd at (0.500, 0.500, 0.281) and Ni at (0.000, 0.000, 0.500).

The calculation puts the magnetization at 0.0 Bohr magnetons per cell. The raw total energy is -10.87 eV/cell. As for the formation energy: 0.122 eV/atom. Its crystal system is tetragonal.


No. 7
Compound: AlCd2Ni
Source: Alexandria via LeMat-Bulk
Functional: PBE
Structure: optimized geometry

The structure belongs to space group P4mm (No. 99); the cell edges are 2.979, 2.979 and 7.815 Å and the angles 90.00°, 90.00° and 90.00°. The asymmetric unit holds Al at (0.000, 0.000, 0.000), Cd at (0.000, 0.000, 0.604), Cd at (0.500, 0.500, 0.288) and Ni at (0.500, 0.500, 0.842).

The calculation puts the magnetization at 0.0 Bohr magnetons per cell. The raw total energy is -11.79 eV/cell. As for the formation energy: -0.108 eV/atom. Its crystal system is tetragonal.


No. 8
Compound: Al2CdNi
Source: Alexandria via LeMat-Bulk
Functional: PBE
Structure: optimized geometry

The structure belongs to space group P4/mmm (No. 123); the cell edges are 4.011, 4.011 and 3.878 Å and the angles 90.00°, 90.00° and 90.00°. The asymmetric unit holds Al at (0.000, 0.500, 0.000), Cd at (0.000, 0.000, 0.500) and Ni at (0.500, 0.500, 0.500).

The calculation puts the magnetization at 0.0 Bohr magnetons per cell. The raw total energy is -14.24 eV/cell. As for the formation energy: -0.014 eV/atom. Its crystal system is tetragonal.


No. 9
Compound: Al4CdNi
Source: Alexandria via LeMat-Bulk
Functional: PBE
Structure: optimized geometry

The structure belongs to space group F-43m (No. 216); the cell edges are 7.438, 7.438 and 7.438 Å and the angles 90.00°, 90.00° and 90.00°. The asymmetric unit holds Al at (0.125, 0.125, 0.125), Cd at (0.250, 0.250, 0.750) and Ni at (0.000, 0.000, 0.500).

The calculation puts the magnetization at 0.0 Bohr magnetons per cell. The raw total energy is -80.83 eV/cell. As for the formation energy: 0.243 eV/atom. Its crystal system is cubic.


No. 10
Compound: Al2CdNi
Source: Alexandria via LeMat-Bulk
Functional: PBE
Structure: optimized geometry

The structure belongs to space group Cm (No. 8); the cell edges are 8.860, 3.235 and 4.627 Å and the angles 90.00°, 103.85° and 90.00°. The asymmetric unit holds Al at (0.000, 0.000, 0.000), Al at (0.242, 0.000, 0.739), Cd at (0.476, 0.000, 0.463) and Ni at (0.224, 0.500, 0.145).

The calculation puts the magnetization at 0.0 Bohr magnetons per cell. The raw total energy is -28.74 eV/cell. As for the formation energy: -0.047 eV/atom. Its crystal system is monoclinic.


No. 11
Compound: AlCd2Ni
Source: Alexandria via LeMat-Bulk
Functional: PBE
Structure: optimized geometry

The structure belongs to space group I-42d (No. 122); the cell edges are 8.593, 8.593 and 4.738 Å and the angles 90.00°, 90.00° and 90.00°. The asymmetric unit holds Al at (0.000, 0.000, 0.000), Cd at (0.146, 0.250, 0.625) and Ni at (0.000, 0.000, 0.500).

The calculation puts the magnetization at 0.0 Bohr magnetons per cell. The raw total energy is -42.06 eV/cell. As for the formation energy: 0.210 eV/atom. Its crystal system is tetragonal.


No. 12
Compound: AlCd2Ni
Source: Alexandria via LeMat-Bulk
Functional: PBE
Structure: optimized geometry

The structure belongs to space group P2/m (No. 10); the cell edges are 2.869, 4.961 and 4.897 Å and the angles 90.00°, 91.56° and 90.00°. The asymmetric unit holds Al at (0.000, 0.000, 0.000), Cd at (0.253, 0.500, 0.744) and Ni at (0.500, 0.000, 0.500).

The calculation puts the magnetization at 0.0 Bohr magnetons per cell. The raw total energy is -10.83 eV/cell. As for the formation energy: 0.131 eV/atom. Its crystal system is monoclinic.


No. 13
Compound: AlCdNi3
Source: Alexandria via LeMat-Bulk
Functional: PBE
Structure: optimized geometry

The structure belongs to space group Pm-3m (No. 221); the cell edges are 4.308, 4.308 and 4.308 Å and the angles 90.00°, 90.00° and 90.00°. The asymmetric unit holds Al at (0.000, 0.000, 0.000), Cd at (0.500, 0.500, 0.500) and Ni at (0.000, 0.000, 0.500).

The calculation puts the magnetization at 0.0 Bohr magnetons per cell. The raw total energy is -19.66 eV/cell. For the energy above the most stable polymorph in this dataset, the calculation gives 0 meV per atom. As for the formation energy: 0.469 eV/atom. Its crystal system is cubic.